This record from Alexandria via LeMat-Bulk describes Y2HgTe2 after structural relaxation. The functional is GGA-PBE.

Cell lengths 8.399, 8.399, 4.025 Å; angles 90.00, 90.00, 90.00 degrees
Element x y z (fractional)
Te 0.852 0.352 0.500
Hg 0.500 0.500 0.000
Hg 0.000 0.000 0.000
Y 0.151 0.349 0.000
Y 0.651 0.151 0.000
Y 0.849 0.651 0.000
Y 0.349 0.849 0.000
Te 0.648 0.852 0.500
Te 0.148 0.648 0.500
Te 0.352 0.148 0.500

* size of the total moment: 0.06 μB per cell
* total DFT energy (no corrections): -4.9053 eV/atom
* space-group type: P4/mbm (127)

This record from Alexandria via LeMat-Bulk describes KNaHgGe after structural relaxation. The functional is GGA-PBE.

Cell lengths 5.282, 5.282, 5.282 Å; angles 60.00, 60.00, 60.00 degrees
Element x y z (fractional)
K 0.750 0.750 0.750
Hg 0.500 0.500 0.500
Na 0.000 0.000 0.000
Ge 0.250 0.250 0.250

* size of the total moment: 0.00 μB per cell
* DFT formation energy: -0.03 eV per atom
* total DFT energy (no corrections): -1.8603 eV/atom
* space-group type: F-43m (216)

This record from Alexandria via LeMat-Bulk describes LaAs2CSe after structural relaxation. The functional is GGA-PBE.

Cell lengths 4.366, 4.366, 5.265 Å; angles 90.00, 90.00, 90.00 degrees
Element x y z (fractional)
C 0.000 0.000 0.000
Se 0.000 0.000 0.500
As 0.000 0.500 0.000
La 0.500 0.500 0.500
As 0.500 0.000 0.000

* size of the total moment: 0.00 μB per cell
* total DFT energy (no corrections): -5.2260 eV/atom
* space-group type: P4/mmm (123)